Arrangement w

VASP calculation (PBE) on crystalline Ca2TaMo at its relaxed geometry.

Summary:
Symmetry: C2/m
D(E_F) (states/eV per cell): 4.3

Lattice parameters (Å, degrees): 6.0463 6.0463 2.9196 94.47 94.47 123.84
With the nearest neighbours (Å) after each atom.
Fractional positions:
Ca 0.0000 0.5000 0.0000  4 Ca 2.85-2.92
Ca 0.5000 0.0000 0.0000  4 Ca 2.85-2.92
Ta 0.0000 0.0000 0.5000  2 Mo 2.85, 2 Ta 2.92
Mo 0.5000 0.5000 0.5000  2 Ta 2.85, 2 Mo 2.92

***

Arrangement x

VASP calculation (PBE) on crystalline Ca2TaMo at its relaxed geometry.

Summary:
Symmetry: Fm-3m
D(E_F) (states/eV per cell): 6.7

Lattice parameters (Å, degrees): 5.0817 5.0817 5.0817 60.00 60.00 60.00
With the nearest neighbours (Å) after each atom.
Fractional positions:
Ca 0.2500 0.2500 0.2500  4 Ta 3.11, 4 Mo 3.11
Ca 0.7500 0.7500 0.7500  4 Ta 3.11, 4 Mo 3.11
Ta 0.0000 0.0000 0.0000  8 Ca 3.11
Mo 0.5000 0.5000 0.5000  8 Ca 3.11

***

Arrangement y

VASP calculation (PBE) on crystalline Ca2TaMo at its relaxed geometry.

Summary:
Symmetry: P4/mmm
D(E_F) (states/eV per cell): 2.8

Lattice parameters (Å, degrees): 4.0469 4.0469 5.3155 90.00 90.00 90.00
With the nearest neighbours (Å) after each atom.
Fractional positions:
Ca 0.0000 0.5000 0.0000  4 Ca 2.86
Ca 0.5000 0.0000 0.0000  4 Ca 2.86
Ta 0.0000 0.0000 0.5000  4 Mo 2.86
Mo 0.5000 0.5000 0.5000  4 Ta 2.86

***

Arrangement z

VASP calculation (PBE) on crystalline Ca2TaMo at its relaxed geometry.

Summary:
Symmetry: P4mm
D(E_F) (states/eV per cell): 5.7

Lattice parameters (Å, degrees): 3.4646 3.4646 8.7614 90.00 90.00 90.00
With the nearest neighbours (Å) after each atom.
Fractional positions:
Ca 0.0000 0.0000 0.0000  4 Ta 3.37, 1 Mo 3.39, 4 Ca 3.46
Ca 0.5000 0.5000 0.3658  1 Ta 3.24, 4 Mo 3.27, 4 Ca 3.46
Ta 0.5000 0.5000 0.7353  4 Mo 2.67
Mo 0.0000 0.0000 0.6130  4 Ta 2.67

***

Relative calculated energies, zero for the most stable structure, unit kJ/mol of atoms: arrangement w 48.4; arrangement x 101.3; arrangement y 45.3; arrangement z 0.0.